Compound: ErNp6S12
Source: Alexandria via LeMat-Bulk
Functional: GGA-PBE
Structure: relaxed

* E_form (uncorrected): -27.323 eV per formula unit

Unit cell a=7.851 b=7.851 c=7.851 alpha=99.80 beta=99.80 gamma=99.80
Sites, in units of the cell vectors:
Er 0.000 0.000 0.000
Np 0.135 0.621 0.305
Np 0.305 0.135 0.621
Np 0.379 0.695 0.865
Np 0.621 0.305 0.135
Np 0.695 0.865 0.379
Np 0.865 0.379 0.695
S 0.052 0.673 0.935
S 0.065 0.948 0.327
S 0.178 0.430 0.578
S 0.327 0.065 0.948
S 0.422 0.822 0.570
S 0.430 0.578 0.178
S 0.570 0.422 0.822
S 0.578 0.178 0.430
S 0.673 0.935 0.052
S 0.822 0.570 0.422
S 0.935 0.052 0.673
S 0.948 0.327 0.065